The following is a DFT calculation (GGA-PBE) of crystalline BaLaYAu2 at its relaxed geometry.

For the formation enthalpy at 0 K, the calculation gives 683 meV/atom.

The structure in CIF format:
```
data_BaLaYAu2
_space_group_name_H-M_alt 'P 1'
_space_group_IT_number 1
_space_group_name_Hall 'P 1'
_cell_length_a 5.645
_cell_length_b 5.912
_cell_length_c 5.645
_cell_angle_alpha 90.00
_cell_angle_beta 90.00
_cell_angle_gamma 90.00
loop_
_atom_site_label
_atom_site_fract_x
_atom_site_fract_y
_atom_site_fract_z
Ba1 0.000 0.000 0.000
Au1 0.500 0.000 0.000
Au2 0.000 0.000 0.500
La1 0.000 0.500 0.000
Y1 0.500 0.500 0.500
```


The following is a DFT calculation (GGA-PBE) of crystalline AcPaZnO6 at its relaxed geometry.

As for the formation energy without anion corrections: -2340.3 meV/atom.

The structure in CIF format:
```
data_AcPaZnO6
_space_group_name_H-M_alt 'P 1'
_space_group_IT_number 1
_space_group_name_Hall 'P 1'
_cell_length_a 4.994
_cell_length_b 5.634
_cell_length_c 5.634
_cell_angle_alpha 120.00
_cell_angle_beta 90.00
_cell_angle_gamma 90.00
loop_
_atom_site_label
_atom_site_fract_x
_atom_site_fract_y
_atom_site_fract_z
O1 0.747 0.666 0.712
O2 0.253 0.046 0.712
O3 0.253 0.288 0.334
O4 0.747 0.288 0.954
O5 0.747 0.046 0.334
O6 0.253 0.666 0.954
Ac1 0.500 0.667 0.333
Pa1 0.000 0.333 0.667
Zn1 0.500 0.000 0.000
```


The following is a DFT calculation (GGA-PBE) of crystalline Dy4Te2Se5 at its relaxed geometry.

As for the formation energy without anion corrections: -1364.3 meV/atom.

The structure in CIF format:
```
data_Dy4Te2Se5
_space_group_name_H-M_alt 'P 1'
_space_group_IT_number 1
_space_group_name_Hall 'P 1'
_cell_length_a 4.099
_cell_length_b 8.350
_cell_length_c 11.776
_cell_angle_alpha 90.55
_cell_angle_beta 100.02
_cell_angle_gamma 90.00
loop_
_atom_site_label
_atom_site_fract_x
_atom_site_fract_y
_atom_site_fract_z
Dy1 0.955 0.198 0.911
Dy2 0.688 0.603 0.376
Dy3 0.312 0.397 0.624
Dy4 0.045 0.802 0.089
Se1 0.158 0.832 0.317
Se2 0.842 0.168 0.683
Se3 0.806 0.635 0.612
Se4 0.194 0.365 0.388
Se5 0.500 0.000 0.000
Te1 0.060 0.446 0.120
Te2 0.940 0.554 0.880
```


The following is a DFT calculation (GGA-PBE) of crystalline PmPrDyHo2 at its relaxed geometry.

For the formation enthalpy at 0 K, the calculation gives 376 meV/atom.

The structure in CIF format:
```
data_PmPrDyHo2
_space_group_name_H-M_alt 'P 1'
_space_group_IT_number 1
_space_group_name_Hall 'P 1'
_cell_length_a 7.176
_cell_length_b 8.432
_cell_length_c 7.161
_cell_angle_alpha 126.06
_cell_angle_beta 90.00
_cell_angle_gamma 90.00
loop_
_atom_site_label
_atom_site_fract_x
_atom_site_fract_y
_atom_site_fract_z
Pr1 0.250 0.270 0.540
Pr2 0.750 0.730 0.460
Ho1 0.500 0.313 0.000
Ho2 0.000 0.687 0.000
Ho3 0.000 0.313 0.000
Ho4 0.500 0.687 0.000
Pm1 0.750 0.000 0.001
Pm2 0.250 0.000 0.999
Dy1 0.750 0.279 0.557
Dy2 0.250 0.721 0.443
```


The following is a DFT calculation (GGA-PBE) of crystalline UPbAu4 at its relaxed geometry.

For the formation enthalpy at 0 K, the calculation gives -35 meV/atom.

The structure in CIF format:
```
data_UPbAu4
_space_group_name_H-M_alt 'P 1'
_space_group_IT_number 1
_space_group_name_Hall 'P 1'
_cell_length_a 5.693
_cell_length_b 5.693
_cell_length_c 5.693
_cell_angle_alpha 60.00
_cell_angle_beta 60.00
_cell_angle_gamma 60.00
loop_
_atom_site_label
_atom_site_fract_x
_atom_site_fract_y
_atom_site_fract_z
Au1 0.625 0.625 0.625
Au2 0.625 0.124 0.625
Au3 0.625 0.625 0.124
Au4 0.124 0.625 0.625
Pb1 0.250 0.250 0.250
U1 0.000 0.000 0.000
```


The following is a DFT calculation (GGA-PBE) of crystalline CaFeGe2Rh at its relaxed geometry.

For the formation enthalpy at 0 K, the calculation gives -537 meV/atom.

The structure in CIF format:
```
data_CaFeGe2Rh
_space_group_name_H-M_alt 'P 1'
_space_group_IT_number 1
_space_group_name_Hall 'P 1'
_cell_length_a 4.126
_cell_length_b 4.126
_cell_length_c 5.921
_cell_angle_alpha 110.39
_cell_angle_beta 110.39
_cell_angle_gamma 90.00
loop_
_atom_site_label
_atom_site_fract_x
_atom_site_fract_y
_atom_site_fract_z
Ge1 0.371 0.371 0.742
Ge2 0.629 0.629 0.258
Ca1 0.000 0.000 0.000
Fe1 0.750 0.250 0.500
Rh1 0.250 0.750 0.500
```


| no. | spin magnetization (μB per cell) | N(E_F) (states/eV per atom) | calculated total energy (eV/cell) |
| --- | --- | --- | --- |
| 1 | 1.3 | 0.86 | -16.45 |
| 2 | 1.3 | 1.06 | -65.69 |
| 3 | 0.0 | 0.16 | -57.12 |
| 4 | 0.0 | 1.64 | -42.82 |
| 5 | 2.8 | 1.99 | -28.32 |
| 6 | 0.7 | 0.74 | -29.74 |